Pm3AlCu3 | PBE-GGA | relaxed

The total energy comes out at -4.604 eV per atom. The formation enthalpy at 0 K is -278 meV per atom. The value obtained for the density of states at the Fermi level is 24.3 states/eV/cell.

It has space group Cmcm (No. 63), with a = 4.223 Å, b = 10.469 Å, c = 13.852 Å, α = 90.00°, β = 90.00° and γ = 90.00°. Symmetry generates all atoms from Pm at (0.000, 0.006, 0.250), Pm at (0.000, 0.291, 0.103), Al at (0.000, 0.000, 0.000), Cu at (0.000, 0.292, 0.750) and Cu at (0.000, 0.425, 0.592).